(1)
Here is NbCd3Rh after structural relaxation from Alexandria. Energies are from PBE-GGA.

abc: 4.979 4.979 4.979
angles: 90.00 90.00 90.00
Element x y z (fractional)
Nb 0.000 0.000 0.000
Cd 0.000 0.500 0.500
Cd 0.500 0.000 0.500
Cd 0.500 0.500 0.000
Rh 0.500 0.500 0.500

Calculated values
- Formation energy from the elements: 0.98 eV per atom
- Relative energy among the computed polymorphs: 0 meV/atom
- Space-group type: Pm-3m

***

(2)
Here is NbCdRh2 after structural relaxation from Alexandria. Energies are from PBE-GGA.

abc: 4.273 4.273 3.578
angles: 90.00 90.00 90.00
Element x y z (fractional)
Nb 0.000 0.000 0.000
Cd 0.500 0.500 0.000
Rh 0.000 0.500 0.500
Rh 0.500 0.000 0.500

Calculated values
- Formation energy from the elements: -0.19 eV per atom
- Space-group type: P4/mmm

***

(3)
Here is Nb2CdRh3 after structural relaxation from Alexandria. Energies are from PBE-GGA.

abc: 2.987 2.987 11.092
angles: 90.00 90.00 90.00
Element x y z (fractional)
Nb 0.000 0.000 0.169
Nb 0.000 0.000 0.831
Cd 0.000 0.000 0.500
Rh 0.500 0.500 0.000
Rh 0.500 0.500 0.320
Rh 0.500 0.500 0.680

Calculated values
- Formation energy from the elements: -0.34 eV per atom
- Space-group type: P4/mmm

***

(4)
Here is NbCd3Rh after structural relaxation from Alexandria. Energies are from PBE-GGA.

abc: 5.310 5.310 5.310
angles: 90.00 90.00 90.00
Element x y z (fractional)
Nb 0.000 0.000 0.000
Cd 0.000 0.000 0.500
Cd 0.000 0.500 0.000
Cd 0.500 0.000 0.000
Rh 0.500 0.500 0.500

Calculated values
- Formation energy from the elements: 1.58 eV per atom
- Relative energy among the computed polymorphs: 599 meV/atom
- Space-group type: Pm-3m

***

(5)
Here is NbCdRh2 after structural relaxation from Alexandria. Energies are from PBE-GGA.

abc: 5.812 5.812 5.812
angles: 104.43 104.43 120.10
Element x y z (fractional)
Nb 0.000 0.000 0.000
Nb 0.750 0.250 0.500
Cd 0.250 0.750 0.500
Cd 0.500 0.500 0.000
Rh 0.093 0.125 0.468
Rh 0.375 0.907 0.032
Rh 0.657 0.625 0.532
Rh 0.875 0.343 0.968

Calculated values
- Formation energy from the elements: 0.12 eV per atom
- Space-group type: I-42d

***

(6)
Here is Nb2CdRh after structural relaxation from Alexandria. Energies are from PBE-GGA.

abc: 6.567 6.567 6.567
angles: 35.25 35.25 35.25
Element x y z (fractional)
Nb 0.000 0.000 0.000
Nb 0.209 0.209 0.209
Cd 0.438 0.438 0.438
Rh 0.600 0.600 0.600

Calculated values
- Formation energy from the elements: 0.39 eV per atom
- Space-group type: R3m

***

(7)
Here is NbCdRh2 after structural relaxation from Alexandria. Energies are from PBE-GGA.

abc: 9.276 9.276 9.276
angles: 17.99 17.99 17.99
Element x y z (fractional)
Nb 0.000 0.000 0.000
Cd 0.833 0.833 0.833
Rh 0.413 0.413 0.413
Rh 0.588 0.588 0.588

Calculated values
- Formation energy from the elements: -0.18 eV per atom
- Space-group type: R3m

***

(8)
Here is Nb4CdRh5 after structural relaxation from Alexandria. Energies are from PBE-GGA.

abc: 2.913 2.913 19.109
angles: 90.00 90.00 90.00
Element x y z (fractional)
Nb 0.000 0.000 0.100
Nb 0.000 0.000 0.300
Nb 0.000 0.000 0.700
Nb 0.000 0.000 0.900
Cd 0.000 0.000 0.500
Rh 0.500 0.500 0.000
Rh 0.500 0.500 0.200
Rh 0.500 0.500 0.394
Rh 0.500 0.500 0.606
Rh 0.500 0.500 0.800

Calculated values
- Formation energy from the elements: -0.38 eV per atom
- Space-group type: P4/mmm

***

(9)
Here is NbCdRh2 after structural relaxation from Alexandria. Energies are from PBE-GGA.

abc: 3.277 3.277 6.223
angles: 90.00 90.00 90.00
Element x y z (fractional)
Nb 0.000 0.000 0.000
Cd 0.000 0.000 0.500
Rh 0.500 0.500 0.228
Rh 0.500 0.500 0.772

Calculated values
- Formation energy from the elements: -0.33 eV per atom
- Space-group type: P4/mmm

***

(10)
Here is NbCdRuRh after structural relaxation from Alexandria. Energies are from PBE-GGA.

abc: 4.514 4.514 4.514
angles: 60.00 60.00 60.00
Element x y z (fractional)
Nb 0.000 0.000 0.000
Cd 0.500 0.500 0.500
Ru 0.250 0.250 0.250
Rh 0.750 0.750 0.750

Calculated values
- Formation energy from the elements: -0.18 eV per atom
- Space-group type: F-43m

***

(11)
Here is Y2NbCdRh after structural relaxation from Alexandria. Energies are from PBE-GGA.

abc: 5.497 5.497 4.662
angles: 90.00 90.00 90.00
Element x y z (fractional)
Y 0.000 0.500 0.000
Y 0.500 0.000 0.000
Nb 0.000 0.000 0.000
Cd 0.500 0.500 0.500
Rh 0.000 0.000 0.500

Calculated values
- Formation energy from the elements: 0.46 eV per atom
- Space-group type: P4/mmm

***

(12)
Here is NbZnCdRh after structural relaxation from Alexandria. Energies are from PBE-GGA.

abc: 4.534 4.534 4.534
angles: 60.00 60.00 60.00
Element x y z (fractional)
Nb 0.000 0.000 0.000
Zn 0.250 0.250 0.250
Cd 0.500 0.500 0.500
Rh 0.750 0.750 0.750

Calculated values
- Formation energy from the elements: -0.14 eV per atom
- Space-group type: F-43m

***

(13)
Here is NbCdRu after structural relaxation from Alexandria. Energies are from PBE-GGA.

abc: 5.397 5.397 5.958
angles: 123.47 123.47 50.20
Element x y z (fractional)
Nb 0.164 0.164 0.066
Nb 0.836 0.836 0.934
Cd 0.166 0.166 0.560
Cd 0.834 0.834 0.440
Ru 0.467 0.467 0.213
Ru 0.533 0.533 0.787

Calculated values
- Formation energy from the elements: 0.08 eV per atom
- Space-group type: C2/m

***

(14)
Here is NbCdRu3 after structural relaxation from Alexandria. Energies are from PBE-GGA.

abc: 4.699 4.699 4.699
angles: 90.00 90.00 90.00
Element x y z (fractional)
Nb 0.000 0.000 0.000
Cd 0.500 0.500 0.500
Ru 0.000 0.500 0.500
Ru 0.500 0.000 0.500
Ru 0.500 0.500 0.000

Calculated values
- Formation energy from the elements: 2.21 eV per atom
- Relative energy among the computed polymorphs: 860 meV/atom
- Space-group type: Pm-3m